(1)
Density functional theory data (PBE) for TiNiP2 after structural relaxation.

Cell: 3.5487 3.5487 15.6693 Å, 90.00 90.00 120.00°
Space group R-3m (No. 166, hexagonal axes)
Inequivalent atoms, fractional coordinates:
1 Ti 0.0000 0.0000 0.0000 (multiplicity 3)
2 Ni 0.0000 0.0000 0.5000 (multiplicity 3)
3 P 0.0000 0.0000 0.2415 (multiplicity 6)

The value obtained for the energy relative to the elements is -10.8 kcal/mol of atoms.

***

(2)
Density functional theory data (PBE) for SrPH6CI3 after structural relaxation.

Cell: 8.314 9.026 16.451 Å, 86.88 86.93 82.70°
Space group P1 (No. 1)
Inequivalent atoms, fractional coordinates:
1 Sr 0.000 0.000 0.000 (multiplicity 1)
2 Sr 0.199 0.499 0.495 (multiplicity 1)
3 Sr 0.499 0.004 0.999 (multiplicity 1)
4 Sr 0.700 0.504 0.498 (multiplicity 1)
5 P 0.319 0.960 0.292 (multiplicity 1)
6 P 0.345 0.438 0.777 (multiplicity 1)
7 P 0.763 0.469 0.129 (multiplicity 1)
8 P 0.865 0.953 0.611 (multiplicity 1)
9 H 0.010 0.504 0.189 (multiplicity 1)
10 H 0.135 0.582 0.855 (multiplicity 1)
11 H 0.167 0.928 0.326 (multiplicity 1)
12 H 0.248 0.438 0.916 (multiplicity 1)
13 H 0.249 0.333 0.751 (multiplicity 1)
14 H 0.289 0.068 0.226 (multiplicity 1)
15 H 0.334 0.606 0.885 (multiplicity 1)
16 H 0.364 0.546 0.712 (multiplicity 1)
17 H 0.381 0.131 0.388 (multiplicity 1)
18 H 0.395 0.826 0.259 (multiplicity 1)
19 H 0.446 0.940 0.419 (multiplicity 1)
20 H 0.499 0.361 0.793 (multiplicity 1)
21 H 0.561 0.033 0.340 (multiplicity 1)
22 H 0.599 0.530 0.137 (multiplicity 1)
23 H 0.720 0.898 0.594 (multiplicity 1)
24 H 0.754 0.127 0.710 (multiplicity 1)
25 H 0.767 0.311 0.139 (multiplicity 1)
26 H 0.815 0.506 0.048 (multiplicity 1)
27 H 0.818 0.945 0.756 (multiplicity 1)
28 H 0.844 0.503 0.263 (multiplicity 1)
29 H 0.860 0.666 0.197 (multiplicity 1)
30 H 0.900 0.060 0.549 (multiplicity 1)
31 H 0.966 0.067 0.723 (multiplicity 1)
32 H 0.990 0.832 0.609 (multiplicity 1)
33 C 0.257 0.524 0.867 (multiplicity 1)
34 C 0.439 0.022 0.367 (multiplicity 1)
35 C 0.849 0.031 0.710 (multiplicity 1)
36 C 0.881 0.543 0.202 (multiplicity 1)
37 I 0.203 0.243 0.082 (multiplicity 1)
38 I 0.264 0.019 0.845 (multiplicity 1)
39 I 0.278 0.754 0.086 (multiplicity 1)
40 I 0.404 0.744 0.577 (multiplicity 1)
41 I 0.467 0.511 0.341 (multiplicity 1)
42 I 0.478 0.255 0.584 (multiplicity 1)
43 I 0.722 0.260 0.924 (multiplicity 1)
44 I 0.729 0.001 0.158 (multiplicity 1)
45 I 0.790 0.760 0.924 (multiplicity 1)
46 I 0.922 0.761 0.420 (multiplicity 1)
47 I 0.939 0.498 0.654 (multiplicity 1)
48 I 0.988 0.259 0.419 (multiplicity 1)

The uncorrected energy is -3.991 eV/atom.

***

(3)
Density functional theory data (PBE) for CePmTc after structural relaxation.

Cell: 6.860 6.860 6.860 Å, 90.00 90.00 90.00°
Space group F-43m (No. 216)
Inequivalent atoms, fractional coordinates:
1 Ce 0.000 0.000 0.000 (multiplicity 4)
2 Pm 0.000 0.000 0.500 (multiplicity 4)
3 Tc 0.250 0.250 0.750 (multiplicity 4)

The energy above the most stable polymorph in this dataset comes out at 0.191 eV/atom. The value obtained for the energy relative to the elements is 3.4 kcal/mol of atoms.

***

(4)
Density functional theory data (PBE) for Tb5Pm12Ho2 after structural relaxation.

Cell: 15.876 9.280 8.751 Å, 90.00 92.37 90.00°
Space group C2/m (No. 12)
Inequivalent atoms, fractional coordinates:
1 Tb 0.000 0.000 0.000 (multiplicity 2)
2 Tb 0.204 0.500 0.529 (multiplicity 4)
3 Tb 0.231 0.000 0.068 (multiplicity 4)
4 Pm 0.059 0.500 0.842 (multiplicity 4)
5 Pm 0.078 0.000 0.381 (multiplicity 4)
6 Pm 0.130 0.304 0.179 (multiplicity 8)
7 Pm 0.150 0.181 0.738 (multiplicity 8)
8 Ho 0.000 0.329 0.500 (multiplicity 4)

The energy above the most stable polymorph in this dataset comes out at 0.000 eV/atom. The value obtained for the energy relative to the elements is 2.7 kcal/mol of atoms.

***

Number 1: magnetic moment 0.000 μB/f.u.. Number 2: magnetic moment 0.000 μB/f.u.. Number 3: magnetic moment 0.199 μB/f.u.. Number 4: magnetic moment 0.000 μB/f.u..